# 1
# MoH2Se

Crystalline MoH2Se at its relaxed geometry (PBE, Alexandria via LeMat-Bulk).

Cell and atoms, written as extended XYZ:
```
4
Lattice="0.000 2.768 2.768 2.768 0.000 2.768 2.768 2.768 0.000" Properties=species:S:1:pos:R:3 pbc="T T T"
Mo 0.000 0.000 0.000
H 1.384 1.384 1.384
H 4.152 4.152 4.152
Se 2.768 2.768 2.768
```

Summary:
- Space group: Fm-3m (225)
- Final energy: -4.297 eV per atom


# 2
# SrMoHSe2

Crystalline SrMoHSe2 at its relaxed geometry (PBE, Alexandria via LeMat-Bulk).

Cell and atoms, written as extended XYZ:
```
5
Lattice="4.754 0.000 0.000 0.000 4.754 0.000 0.000 0.000 6.476" Properties=species:S:1:pos:R:3 pbc="T T T"
Sr 0.000 0.000 0.000
Mo 0.000 0.000 3.238
H 2.377 2.377 0.000
Se 0.000 2.377 3.238
Se 2.377 0.000 3.238
```

Summary:
- Space group: P4/mmm (123)
- Final energy: -4.489 eV per atom


# 3
# TeMoHSe2

Crystalline TeMoHSe2 at its relaxed geometry (PBE, Alexandria via LeMat-Bulk).

Cell and atoms, written as extended XYZ:
```
5
Lattice="5.427 0.000 0.000 0.000 5.427 0.000 0.000 0.000 3.759" Properties=species:S:1:pos:R:3 pbc="T T T"
Te 0.000 0.000 0.000
Mo 2.714 2.714 1.879
H 0.000 0.000 1.879
Se 0.000 2.714 0.000
Se 2.714 0.000 0.000
```

Summary:
- Space group: P4/mmm (123)
- Final energy: -4.078 eV per atom


# 4
# TlMoHSe2

Crystalline TlMoHSe2 at its relaxed geometry (PBE, Alexandria via LeMat-Bulk).

Cell and atoms, written as extended XYZ:
```
5
Lattice="5.102 0.000 0.000 0.000 5.102 0.000 0.000 0.000 3.643" Properties=species:S:1:pos:R:3 pbc="T T T"
Tl 0.000 0.000 0.000
Mo 2.551 2.551 0.000
H 0.000 0.000 1.822
Se 0.000 2.551 1.822
Se 2.551 0.000 1.822
```

Summary:
- Space group: P4/mmm (123)
- Final energy: -3.921 eV per atom


# 5
# Si3MoH

Crystalline Si3MoH at its relaxed geometry (PBE, Alexandria via LeMat-Bulk).

Cell and atoms, written as extended XYZ:
```
5
Lattice="4.724 0.000 0.000 0.000 4.724 0.000 0.000 0.000 4.724" Properties=species:S:1:pos:R:3 pbc="T T T"
Si 0.000 0.000 2.362
Si 0.000 2.362 0.000
Si 2.362 0.000 0.000
Mo 0.000 0.000 0.000
H 2.362 2.362 2.362
```

Summary:
- Space group: Pm-3m (221)
- Final energy: -5.276 eV per atom


# 6
# Si2MoH

Crystalline Si2MoH at its relaxed geometry (PBE, Alexandria via LeMat-Bulk).

Cell and atoms, written as extended XYZ:
```
4
Lattice="0.000 2.946 2.946 2.946 0.000 2.946 2.946 2.946 0.000" Properties=species:S:1:pos:R:3 pbc="T T T"
Si 1.473 1.473 1.473
Si 4.419 4.419 4.419
Mo 0.000 0.000 0.000
H 2.946 2.946 2.946
```

Summary:
- Space group: Fm-3m (225)
- Final energy: -5.513 eV per atom


Among the records above, which one has the lowest final energy? Si2MoH


Which formula does entry 1 have? MoH2Se